Record 1
Crystalline Pr2GaNi6B at its relaxed geometry, computed with PBE.

Unit cell a=5.8430 b=5.4507 c=5.4507 alpha=120.00 beta=90.00 gamma=90.00
Atoms (fractional coordinates):
Pr1 0.3185 0.3333 0.6667
Pr2 0.6815 0.6667 0.3333
Ga1 0.5000 0.0000 0.0000
Ni1 0.8261 0.1808 0.3617
Ni2 0.8261 0.1808 0.8192
Ni3 0.8261 0.6383 0.8192
Ni4 0.1739 0.8192 0.1808
Ni5 0.1739 0.3617 0.1808
Ni6 0.1739 0.8192 0.6383
B1 0.0000 0.0000 0.0000

## Properties
Mass density   7.89 g/cm3
Energy of formation   -0.372 eV/atom

Record 2
Crystalline GaNi5B2Pt2 at its relaxed geometry, computed with PBE.

Unit cell a=3.1897 b=8.2926 c=8.2926 alpha=90.00 beta=90.00 gamma=90.00
Atoms (fractional coordinates):
Ga1 0.0000 0.0000 0.0000
Ga2 0.0000 0.5000 0.5000
Ni1 0.5000 0.2169 0.0658
Ni2 0.5000 0.7831 0.9342
Ni3 0.5000 0.0658 0.7831
Ni4 0.5000 0.7169 0.4342
Ni5 0.5000 0.9342 0.2169
Ni6 0.5000 0.2831 0.5658
Ni7 0.5000 0.5658 0.7169
Ni8 0.5000 0.4342 0.2831
Ni9 0.5000 0.5000 0.0000
Ni10 0.5000 0.0000 0.5000
B1 0.0000 0.1263 0.6263
B2 0.0000 0.8737 0.3737
B3 0.0000 0.6263 0.8737
B4 0.0000 0.3737 0.1263
Pt1 0.0000 0.6788 0.1788
Pt2 0.0000 0.3212 0.8212
Pt3 0.0000 0.1788 0.3212
Pt4 0.0000 0.8212 0.6788

## Properties
Mass density   11.73 g/cm3
Energy of formation   -0.268 eV/atom

> What is the formula in the first record?

Pr2GaNi6B

> Among the records above, which one has the lowest mass density?

Pr2GaNi6B

> Among the records above, which one has the highest mass density?

GaNi5B2Pt2